Version 1
Compound: BaBe2Pt
Source: Alexandria via LeMat-Bulk
Functional: GGA-PBE
Structure: optimized geometry

Geometry as CIF:
```
data_BaBe2Pt
_cell_length_a 3.891
_cell_length_b 6.152
_cell_length_c 7.705
_cell_angle_alpha 90.00
_cell_angle_beta 90.00
_cell_angle_gamma 90.00
_space_group_name_H-M_alt 'I m m m'
_space_group_IT_number 71
_space_group_name_Hall '-I 2 2'
loop_
_atom_site_label
_atom_site_type_symbol
_atom_site_fract_x
_atom_site_fract_y
_atom_site_fract_z
_atom_site_occupancy
Ba1 Ba 0.000 0.000 0.000 1
Be1 Be 0.000 0.500 0.141 1
Pt1 Pt 0.000 0.000 0.500 1
```

Crystal system ... orthorhombic

Version 2
Compound: BaBe2Pt
Source: Alexandria via LeMat-Bulk
Functional: GGA-PBE
Structure: optimized geometry

Geometry as CIF:
```
data_BaBe2Pt
_cell_length_a 6.864
_cell_length_b 6.880
_cell_length_c 2.987
_cell_angle_alpha 90.00
_cell_angle_beta 90.00
_cell_angle_gamma 90.00
_space_group_name_H-M_alt 'C m m m'
_space_group_IT_number 65
_space_group_name_Hall '-C 2 2'
loop_
_atom_site_label
_atom_site_type_symbol
_atom_site_fract_x
_atom_site_fract_y
_atom_site_fract_z
_atom_site_occupancy
Ba1 Ba 0.000 0.000 0.000 1
Be1 Be 0.250 0.250 0.500 1
Pt1 Pt 0.000 0.500 0.000 1
```

Crystal system ... orthorhombic

Version 3
Compound: BaBe2Pt
Source: Alexandria via LeMat-Bulk
Functional: GGA-PBE
Structure: optimized geometry

Geometry as CIF:
```
data_BaBe2Pt
_cell_length_a 3.235
_cell_length_b 3.235
_cell_length_c 7.173
_cell_angle_alpha 90.00
_cell_angle_beta 90.00
_cell_angle_gamma 90.00
_space_group_name_H-M_alt 'P 4 m m'
_space_group_IT_number 99
loop_
_space_group_symop_operation_xyz
'x,y,z'
'-y,x,z'
'-x,-y,z'
'y,-x,z'
'-x,y,z'
'y,x,z'
'x,-y,z'
'-y,-x,z'
loop_
_atom_site_label
_atom_site_type_symbol
_atom_site_fract_x
_atom_site_fract_y
_atom_site_fract_z
_atom_site_occupancy
Ba1 Ba 0.000 0.000 0.000 1
Be1 Be 0.000 0.000 0.526 1
Be2 Be 0.500 0.500 0.343 1
Pt1 Pt 0.500 0.500 0.644 1
```

Crystal system ... tetragonal

Version 4
Compound: BaBe2Pt
Source: Alexandria via LeMat-Bulk
Functional: GGA-PBE
Structure: optimized geometry

Geometry as CIF:
```
data_BaBe2Pt
_cell_length_a 7.028
_cell_length_b 4.028
_cell_length_c 6.086
_cell_angle_alpha 90.00
_cell_angle_beta 111.84
_cell_angle_gamma 90.00
_space_group_name_H-M_alt 'C 1 2/m 1'
_space_group_IT_number 12
loop_
_space_group_symop_operation_xyz
'x,y,z'
'-x,-y,-z'
'-x,y,-z'
'x,-y,z'
'x+1/2,y+1/2,z'
'-x+1/2,-y+1/2,-z'
'-x+1/2,y+1/2,-z'
'x+1/2,-y+1/2,z'
loop_
_atom_site_label
_atom_site_type_symbol
_atom_site_fract_x
_atom_site_fract_y
_atom_site_fract_z
_atom_site_occupancy
Ba1 Ba 0.000 0.000 0.000 1
Be1 Be 0.181 0.000 0.540 1
Pt1 Pt 0.000 0.500 0.500 1
```

Crystal system ... monoclinic

It turns out version 4 is the most stable, with the second structure 446 meV per atom higher.

Version 1
Compound: BaBe3Pt
Source: Alexandria via LeMat-Bulk
Functional: GGA-PBE
Structure: optimized geometry

Geometry as CIF:
```
data_BaBe3Pt
_cell_length_a 4.512
_cell_length_b 4.512
_cell_length_c 4.512
_cell_angle_alpha 90.00
_cell_angle_beta 90.00
_cell_angle_gamma 90.00
_space_group_name_H-M_alt 'P m -3 m'
_space_group_IT_number 221
_space_group_name_Hall '-P 4 2 3'
loop_
_atom_site_label
_atom_site_type_symbol
_atom_site_fract_x
_atom_site_fract_y
_atom_site_fract_z
_atom_site_occupancy
Ba1 Ba 0.000 0.000 0.000 1
Be1 Be 0.000 0.500 0.500 1
Pt1 Pt 0.500 0.500 0.500 1
```

Crystal system ... cubic

Version 2
Compound: BaBe3Pt
Source: Alexandria via LeMat-Bulk
Functional: GGA-PBE
Structure: optimized geometry

Geometry as CIF:
```
data_BaBe3Pt
_cell_length_a 4.795
_cell_length_b 4.795
_cell_length_c 4.795
_cell_angle_alpha 90.00
_cell_angle_beta 90.00
_cell_angle_gamma 90.00
_space_group_name_H-M_alt 'P m -3 m'
_space_group_IT_number 221
_space_group_name_Hall '-P 4 2 3'
loop_
_atom_site_label
_atom_site_type_symbol
_atom_site_fract_x
_atom_site_fract_y
_atom_site_fract_z
_atom_site_occupancy
Ba1 Ba 0.000 0.000 0.000 1
Be1 Be 0.000 0.000 0.500 1
Pt1 Pt 0.500 0.500 0.500 1
```

Crystal system ... cubic

It turns out version 1 is the most stable, with the second structure 2615 meV per atom higher.

Version 1
Compound: BaBe2Pt2
Source: Alexandria via LeMat-Bulk
Functional: GGA-PBE
Structure: optimized geometry

Geometry as CIF:
```
data_BaBe2Pt2
_cell_length_a 4.124
_cell_length_b 4.124
_cell_length_c 11.048
_cell_angle_alpha 90.00
_cell_angle_beta 90.00
_cell_angle_gamma 90.00
_space_group_name_H-M_alt 'I 4/m m m'
_space_group_IT_number 139
_space_group_name_Hall '-I 4 2'
loop_
_atom_site_label
_atom_site_type_symbol
_atom_site_fract_x
_atom_site_fract_y
_atom_site_fract_z
_atom_site_occupancy
Ba1 Ba 0.000 0.000 0.000 1
Be1 Be 0.000 0.500 0.250 1
Pt1 Pt 0.000 0.000 0.346 1
```

Crystal system ... tetragonal

Version 2
Compound: BaBe2Pt2
Source: Alexandria via LeMat-Bulk
Functional: GGA-PBE
Structure: optimized geometry

Geometry as CIF:
```
data_BaBe2Pt2
_cell_length_a 7.664
_cell_length_b 7.664
_cell_length_c 2.959
_cell_angle_alpha 90.00
_cell_angle_beta 90.00
_cell_angle_gamma 90.00
_space_group_name_H-M_alt 'P 4/m b m'
_space_group_IT_number 127
_space_group_name_Hall '-P 4 2ab'
loop_
_atom_site_label
_atom_site_type_symbol
_atom_site_fract_x
_atom_site_fract_y
_atom_site_fract_z
_atom_site_occupancy
Ba1 Ba 0.000 0.000 0.000 1
Be1 Be 0.104 0.396 0.000 1
Pt1 Pt 0.141 0.641 0.500 1
```

Crystal system ... tetragonal

It turns out version 1 is the most stable, with the second structure 274 meV per atom higher.

Version 1
Compound: BaBePt3
Source: Alexandria via LeMat-Bulk
Functional: GGA-PBE
Structure: optimized geometry

Geometry as CIF:
```
data_BaBePt3
_cell_length_a 5.391
_cell_length_b 5.391
_cell_length_c 5.391
_cell_angle_alpha 90.00
_cell_angle_beta 90.00
_cell_angle_gamma 90.00
_space_group_name_H-M_alt 'P m -3 m'
_space_group_IT_number 221
_space_group_name_Hall '-P 4 2 3'
loop_
_atom_site_label
_atom_site_type_symbol
_atom_site_fract_x
_atom_site_fract_y
_atom_site_fract_z
_atom_site_occupancy
Ba1 Ba 0.000 0.000 0.000 1
Be1 Be 0.500 0.500 0.500 1
Pt1 Pt 0.000 0.000 0.500 1
```

Crystal system ... cubic

Version 2
Compound: BaBePt3
Source: Alexandria via LeMat-Bulk
Functional: GGA-PBE
Structure: optimized geometry

Geometry as CIF:
```
data_BaBePt3
_cell_length_a 4.549
_cell_length_b 4.549
_cell_length_c 4.549
_cell_angle_alpha 90.00
_cell_angle_beta 90.00
_cell_angle_gamma 90.00
_space_group_name_H-M_alt 'P m -3 m'
_space_group_IT_number 221
_space_group_name_Hall '-P 4 2 3'
loop_
_atom_site_label
_atom_site_type_symbol
_atom_site_fract_x
_atom_site_fract_y
_atom_site_fract_z
_atom_site_occupancy
Ba1 Ba 0.000 0.000 0.000 1
Be1 Be 0.500 0.500 0.500 1
Pt1 Pt 0.000 0.500 0.500 1
```

Crystal system ... cubic

It turns out version 2 is the most stable, with the second structure 2474 meV per atom higher.

Version 1
Compound: RbBaBe
Source: Alexandria via LeMat-Bulk
Functional: GGA-PBE
Structure: optimized geometry

Geometry as CIF:
```
data_RbBaBe
_cell_length_a 4.291
_cell_length_b 5.911
_cell_length_c 12.804
_cell_angle_alpha 89.82
_cell_angle_beta 86.87
_cell_angle_gamma 89.93
_space_group_name_H-M_alt 'P 1'
_space_group_IT_number 1
loop_
_space_group_symop_operation_xyz
'x,y,z'
loop_
_atom_site_label
_atom_site_type_symbol
_atom_site_fract_x
_atom_site_fract_y
_atom_site_fract_z
_atom_site_occupancy
Rb1 Rb 0.000 0.000 0.000 1
Rb2 Rb 0.457 0.502 0.278 1
Ba1 Ba 0.437 0.495 0.734 1
Ba2 Ba 0.917 0.998 0.524 1
Be1 Be 0.195 0.995 0.743 1
Be2 Be 0.698 0.994 0.757 1
```

Crystal system ... triclinic

Version 2
Compound: RbBaBe
Source: Alexandria via LeMat-Bulk
Functional: GGA-PBE
Structure: optimized geometry

Geometry as CIF:
```
data_RbBaBe
_cell_length_a 8.430
_cell_length_b 4.326
_cell_length_c 16.815
_cell_angle_alpha 90.00
_cell_angle_beta 93.59
_cell_angle_gamma 90.00
_space_group_name_H-M_alt 'C 1 m 1'
_space_group_IT_number 8
loop_
_space_group_symop_operation_xyz
'x,y,z'
'x,-y,z'
'x+1/2,y+1/2,z'
'x+1/2,-y+1/2,z'
loop_
_atom_site_label
_atom_site_type_symbol
_atom_site_fract_x
_atom_site_fract_y
_atom_site_fract_z
_atom_site_occupancy
Rb1 Rb 0.000 0.000 0.000 1
Rb2 Rb 0.175 0.500 0.743 1
Ba1 Ba 0.323 0.000 0.257 1
Ba2 Ba 0.352 0.000 0.488 1
Be1 Be 0.037 0.000 0.372 1
Be2 Be 0.137 0.500 0.372 1
```

Crystal system ... monoclinic

Version 3
Compound: RbBaBe
Source: Alexandria via LeMat-Bulk
Functional: GGA-PBE
Structure: optimized geometry

Geometry as CIF:
```
data_RbBaBe
_cell_length_a 4.325
_cell_length_b 7.792
_cell_length_c 9.247
_cell_angle_alpha 80.69
_cell_angle_beta 76.75
_cell_angle_gamma 89.87
_space_group_name_H-M_alt 'P 1'
_space_group_IT_number 1
loop_
_space_group_symop_operation_xyz
'x,y,z'
loop_
_atom_site_label
_atom_site_type_symbol
_atom_site_fract_x
_atom_site_fract_y
_atom_site_fract_z
_atom_site_occupancy
Rb1 Rb 0.000 0.000 0.000 1
Rb2 Rb 0.434 0.487 0.143 1
Ba1 Ba 0.202 0.566 0.627 1
Ba2 Ba 0.759 0.070 0.505 1
Be1 Be 0.341 0.823 0.339 1
Be2 Be 0.833 0.754 0.356 1
```

Crystal system ... triclinic

Version 4
Compound: RbBaBe
Source: Alexandria via LeMat-Bulk
Functional: GGA-PBE
Structure: optimized geometry

Geometry as CIF:
```
data_RbBaBe
_cell_length_a 5.671
_cell_length_b 4.348
_cell_length_c 12.302
_cell_angle_alpha 90.00
_cell_angle_beta 102.95
_cell_angle_gamma 90.00
_space_group_name_H-M_alt 'P 1 m 1'
_space_group_IT_number 6
loop_
_space_group_symop_operation_xyz
'x,y,z'
'x,-y,z'
loop_
_atom_site_label
_atom_site_type_symbol
_atom_site_fract_x
_atom_site_fract_y
_atom_site_fract_z
_atom_site_occupancy
Rb1 Rb 0.000 0.000 0.000 1
Rb2 Rb 0.356 0.500 0.714 1
Ba1 Ba 0.205 0.000 0.426 1
Ba2 Ba 0.625 0.500 0.259 1
Be1 Be 0.747 0.253 0.512 1
```

Crystal system ... monoclinic

It turns out version 2 is the most stable, with the second structure 90 meV per atom higher.

Version 1
Compound: RbBaBe
Source: Alexandria via LeMat-Bulk
Functional: GGA-PBE
Structure: optimized geometry

Geometry as CIF:
```
data_RbBaBe
_cell_length_a 4.310
_cell_length_b 8.248
_cell_length_c 8.836
_cell_angle_alpha 78.27
_cell_angle_beta 89.53
_cell_angle_gamma 89.73
_space_group_name_H-M_alt 'P 1'
_space_group_IT_number 1
loop_
_space_group_symop_operation_xyz
'x,y,z'
loop_
_atom_site_label
_atom_site_type_symbol
_atom_site_fract_x
_atom_site_fract_y
_atom_site_fract_z
_atom_site_occupancy
Rb1 Rb 0.000 0.000 0.000 1
Rb2 Rb 0.498 0.506 0.956 1
Ba1 Ba 0.016 0.158 0.491 1
Ba2 Ba 0.516 0.682 0.453 1
Be1 Be 0.009 0.817 0.694 1
Be2 Be 0.509 0.879 0.701 1
```

Crystal system ... triclinic

Version 2
Compound: RbBaBe
Source: Alexandria via LeMat-Bulk
Functional: GGA-PBE
Structure: optimized geometry

Geometry as CIF:
```
data_RbBaBe
_cell_length_a 4.315
_cell_length_b 4.744
_cell_length_c 16.929
_cell_angle_alpha 97.22
_cell_angle_beta 90.39
_cell_angle_gamma 116.76
_space_group_name_H-M_alt 'P 1'
_space_group_IT_number 1
loop_
_space_group_symop_operation_xyz
'x,y,z'
loop_
_atom_site_label
_atom_site_type_symbol
_atom_site_fract_x
_atom_site_fract_y
_atom_site_fract_z
_atom_site_occupancy
Rb1 Rb 0.000 0.000 0.000 1
Rb2 Rb 0.216 0.431 0.744 1
Ba1 Ba 0.729 0.577 0.254 1
Ba2 Ba 0.801 0.710 0.486 1
Be1 Be 0.063 0.239 0.370 1
Be2 Be 0.467 0.048 0.370 1
```

Crystal system ... triclinic

Version 3
Compound: RbBaBe
Source: Alexandria via LeMat-Bulk
Functional: GGA-PBE
Structure: optimized geometry

Geometry as CIF:
```
data_RbBaBe
_cell_length_a 5.841
_cell_length_b 5.846
_cell_length_c 8.629
_cell_angle_alpha 90.00
_cell_angle_beta 109.70
_cell_angle_gamma 90.00
_space_group_name_H-M_alt 'C 1 m 1'
_space_group_IT_number 8
loop_
_space_group_symop_operation_xyz
'x,y,z'
'x,-y,z'
'x+1/2,y+1/2,z'
'x+1/2,-y+1/2,z'
loop_
_atom_site_label
_atom_site_type_symbol
_atom_site_fract_x
_atom_site_fract_y
_atom_site_fract_z
_atom_site_occupancy
Rb1 Rb 0.000 0.000 0.000 1
Ba1 Ba 0.257 0.500 0.511 1
Be1 Be 0.353 0.000 0.705 1
```

Crystal system ... monoclinic

Version 4
Compound: RbBaBe
Source: Alexandria via LeMat-Bulk
Functional: GGA-PBE
Structure: optimized geometry

Geometry as CIF:
```
data_RbBaBe
_cell_length_a 4.668
_cell_length_b 7.218
_cell_length_c 4.659
_cell_angle_alpha 90.00
_cell_angle_beta 90.00
_cell_angle_gamma 90.00
_space_group_name_H-M_alt 'P m m 2'
_space_group_IT_number 25
loop_
_space_group_symop_operation_xyz
'x,y,z'
'-x,-y,z'
'-x,y,z'
'x,-y,z'
loop_
_atom_site_label
_atom_site_type_symbol
_atom_site_fract_x
_atom_site_fract_y
_atom_site_fract_z
_atom_site_occupancy
Rb1 Rb 0.000 0.000 0.000 1
Ba1 Ba 0.500 0.500 0.504 1
Be1 Be 0.000 0.500 0.004 1
```

Crystal system ... orthorhombic

It turns out version 2 is the most stable, with the second structure 148 meV per atom higher.

Version 1
Compound: Rb3BaBe
Source: Alexandria via LeMat-Bulk
Functional: GGA-PBE
Structure: optimized geometry

Geometry as CIF:
```
data_Rb3BaBe
_cell_length_a 6.982
_cell_length_b 6.982
_cell_length_c 6.982
_cell_angle_alpha 90.00
_cell_angle_beta 90.00
_cell_angle_gamma 90.00
_space_group_name_H-M_alt 'P m -3 m'
_space_group_IT_number 221
_space_group_name_Hall '-P 4 2 3'
loop_
_atom_site_label
_atom_site_type_symbol
_atom_site_fract_x
_atom_site_fract_y
_atom_site_fract_z
_atom_site_occupancy
Rb1 Rb 0.000 0.000 0.500 1
Ba1 Ba 0.500 0.500 0.500 1
Be1 Be 0.000 0.000 0.000 1
```

Crystal system ... cubic

Version 2
Compound: Rb3BaBe
Source: Alexandria via LeMat-Bulk
Functional: GGA-PBE
Structure: optimized geometry

Geometry as CIF:
```
data_Rb3BaBe
_cell_length_a 8.777
_cell_length_b 8.777
_cell_length_c 8.777
_cell_angle_alpha 90.00
_cell_angle_beta 90.00
_cell_angle_gamma 90.00
_space_group_name_H-M_alt 'P m -3 m'
_space_group_IT_number 221
_space_group_name_Hall '-P 4 2 3'
loop_
_atom_site_label
_atom_site_type_symbol
_atom_site_fract_x
_atom_site_fract_y
_atom_site_fract_z
_atom_site_occupancy
Rb1 Rb 0.000 0.000 0.500 1
Ba1 Ba 0.000 0.000 0.000 1
Be1 Be 0.500 0.500 0.500 1
```

Crystal system ... cubic

It turns out version 1 is the most stable, with the second structure 499 meV per atom higher.

Version 1
Compound: RbBaBe3
Source: Alexandria via LeMat-Bulk
Functional: GGA-PBE
Structure: optimized geometry

Geometry as CIF:
```
data_RbBaBe3
_cell_length_a 5.606
_cell_length_b 5.606
_cell_length_c 5.606
_cell_angle_alpha 90.00
_cell_angle_beta 90.00
_cell_angle_gamma 90.00
_space_group_name_H-M_alt 'P m -3 m'
_space_group_IT_number 221
_space_group_name_Hall '-P 4 2 3'
loop_
_atom_site_label
_atom_site_type_symbol
_atom_site_fract_x
_atom_site_fract_y
_atom_site_fract_z
_atom_site_occupancy
Rb1 Rb 0.000 0.000 0.000 1
Ba1 Ba 0.500 0.500 0.500 1
Be1 Be 0.000 0.000 0.500 1
```

Crystal system ... cubic

Version 2
Compound: RbBaBe3
Source: Alexandria via LeMat-Bulk
Functional: GGA-PBE
Structure: optimized geometry

Geometry as CIF:
```
data_RbBaBe3
_cell_length_a 6.030
_cell_length_b 6.030
_cell_length_c 6.030
_cell_angle_alpha 90.00
_cell_angle_beta 90.00
_cell_angle_gamma 90.00
_space_group_name_H-M_alt 'P m -3 m'
_space_group_IT_number 221
_space_group_name_Hall '-P 4 2 3'
loop_
_atom_site_label
_atom_site_type_symbol
_atom_site_fract_x
_atom_site_fract_y
_atom_site_fract_z
_atom_site_occupancy
Rb1 Rb 0.000 0.000 0.000 1
Ba1 Ba 0.500 0.500 0.500 1
Be1 Be 0.000 0.500 0.500 1
```

Crystal system ... cubic

It turns out version 2 is the most stable, with the second structure 57 meV per atom higher.